(1)
The following is a DFT calculation (PBE) of Tm3RuBr3 after structural relaxation.

The structure in POSCAR format:
```
Tm3RuBr3
1.0
3.3583 1.9389 10.8707
-3.3583 1.9389 10.8707
0.0000 -3.8778 10.8707
Tm Ru Br
6 2 6
direct
0.0480 0.3936 0.7025 Tm
0.2975 0.9520 0.6064 Tm
0.3936 0.7025 0.0480 Tm
0.6064 0.2975 0.9520 Tm
0.7025 0.0480 0.3936 Tm
0.9520 0.6064 0.2975 Tm
0.3333 0.3333 0.3333 Ru
0.6667 0.6667 0.6667 Ru
0.1063 0.7776 0.4349 Br
0.2224 0.5651 0.8937 Br
0.4349 0.1063 0.7776 Br
0.5651 0.8937 0.2224 Br
0.7776 0.4349 0.1063 Br
0.8937 0.2224 0.5651 Br
```

---

(2)
The following is a DFT calculation (PBE) of TbHoSb2 after structural relaxation.

The structure in POSCAR format:
```
TbHoSb2
1.0
4.3507 0.0000 0.0000
-2.1754 3.7678 0.0000
0.0000 0.0000 22.2768
Tb Ho Sb
3 3 6
direct
0.0000 0.0000 0.0000 Tb
0.3333 0.6667 0.6667 Tb
0.6667 0.3333 0.3333 Tb
0.0000 0.0000 0.8293 Ho
0.3333 0.6667 0.4960 Ho
0.6667 0.3333 0.1626 Ho
0.0000 0.0000 0.2461 Sb
0.0000 0.0000 0.4169 Sb
0.3333 0.6667 0.0836 Sb
0.3333 0.6667 0.9127 Sb
0.6667 0.3333 0.5794 Sb
0.6667 0.3333 0.7503 Sb
```

---

(3)
The following is a DFT calculation (PBE) of BaZnFe3 after structural relaxation.

The structure in POSCAR format:
```
BaZnFe3
1.0
4.7572 0.0000 0.0000
0.0000 4.7572 0.0000
0.0000 0.0000 4.7572
Ba Zn Fe
1 1 3
direct
0.0000 0.0000 0.0000 Ba
0.5000 0.5000 0.5000 Zn
0.0000 0.5000 0.5000 Fe
0.5000 0.0000 0.5000 Fe
0.5000 0.5000 0.0000 Fe
```

Computed properties:
- Energy of formation from the pure elements: 0.939 eV per atom

---

(4)
The following is a DFT calculation (PBE) of H2Se2S after structural relaxation.

The structure in POSCAR format:
```
H2Se2S
1.0
8.1581 -1.5964 0.0000
8.1581 1.5964 0.0000
-7.3042 0.0000 8.7226
H Se S
4 4 2
direct
0.0494 0.0494 0.4356 H
0.3311 0.3311 0.4513 H
0.6689 0.6689 0.5487 H
0.9506 0.9506 0.5644 H
0.3898 0.3898 0.1150 Se
0.4636 0.4636 0.8666 Se
0.5364 0.5364 0.1334 Se
0.6102 0.6102 0.8850 Se
0.1521 0.1521 0.5672 S
0.8479 0.8479 0.4328 S
```

---

(5)
The following is a DFT calculation (PBE) of ErZrIr4 after structural relaxation.

The structure in POSCAR format:
```
ErZrIr4
1.0
0.0000 3.7440 3.7440
3.7440 0.0000 3.7440
3.7440 3.7440 0.0000
Er Zr Ir
1 1 4
direct
0.0000 0.0000 0.0000 Er
0.7500 0.7500 0.7500 Zr
0.3748 0.3748 0.3748 Ir
0.3748 0.3748 0.8757 Ir
0.3748 0.8757 0.3748 Ir
0.8757 0.3748 0.3748 Ir
```

Computed properties:
- Energy of formation from the pure elements: -0.742 eV per atom

---

(6)
The following is a DFT calculation (PBE) of Ca4Zn2CdHg after structural relaxation.

The structure in POSCAR format:
```
Ca4Zn2CdHg
1.0
2.6572 1.5342 8.6542
-2.6572 1.5342 8.6542
0.0000 -3.0683 8.6542
Ca Zn Cd Hg
4 2 1 1
direct
0.1237 0.1237 0.1237 Ca
0.3737 0.3737 0.3737 Ca
0.6263 0.6263 0.6263 Ca
0.8763 0.8763 0.8763 Ca
0.2478 0.2478 0.2478 Zn
0.7522 0.7522 0.7522 Zn
0.5000 0.5000 0.5000 Cd
0.0000 0.0000 0.0000 Hg
```

Computed properties:
- Energy of formation from the pure elements: -0.338 eV per atom

---

| no. | total energy (eV per atom) | DOS(E_F) (states/eV per atom) | spin magnetization (μB/f.u.) |
| --- | --- | --- | --- |
| 1 | -5.102 | 0.424 | 0.00 |
| 2 | -5.384 | 0.113 | 0.00 |
| 3 | -4.778 | 2.296 | 8.29 |
| 4 | -3.493 | 0.180 | 0.00 |
| 5 | -8.835 | 0.519 | 0.00 |
| 6 | -1.810 | 0.750 | 0.00 |